1.
Entry from Alexandria: PaHRh3 after structural relaxation (PBE-GGA).

Its energy is -7.723 eV per atom. Its crystal system is cubic. For the total magnetization, the calculation gives 0.00 μB per formula unit.

The space group is Pm-3m (No. 221) and the conventional cell measures 4.100, 4.100 and 4.100 Å, with angles of 90.00, 90.00 and 90.00 degrees. Symmetry generates all atoms from Pa at (0.000, 0.000, 0.000), H at (0.500, 0.500, 0.500) and Rh at (0.000, 0.500, 0.500).

=====

2.
Entry from Alexandria: Pm3HoTh2N6 after structural relaxation (PBE-GGA).

The uncorrected formation energy comes out at -1.56 eV per atom. Its crystal system is monoclinic. For the total magnetization, the calculation gives 0.00 μB per formula unit.

The space group is C2/m (No. 12) and the conventional cell measures 15.709, 3.614 and 7.214 Å, with angles of 90.00, 103.29 and 90.00 degrees. Symmetry generates all atoms from Pm at (0.000, 0.000, 0.000), Pm at (0.164, 0.500, 0.335), Ho at (0.000, 0.000, 0.500), Th at (0.164, 0.500, 0.828), N at (0.002, 0.500, 0.743), N at (0.162, 0.000, 0.587) and N at (0.168, 0.000, 0.077).

=====

3.
Entry from Alexandria: Sc2ReTc after structural relaxation (PBE-GGA).

The value obtained for the formation energy from the elements is 0.18 eV per atom. Its crystal system is trigonal. For the total magnetization, the calculation gives 0.00 μB per formula unit.

The space group is R3m (No. 160, hexagonal axes) and the conventional cell measures 2.9517, 2.9517 and 28.7818 Å, with angles of 90.00, 90.00 and 120.00 degrees. Symmetry generates all atoms from Sc at (0.0000, 0.0000, 0.0000), Sc at (0.0000, 0.0000, 0.2325), Re at (0.0000, 0.0000, 0.4850) and Tc at (0.0000, 0.0000, 0.7471).